(A)
LiEr2C: optimized geometry, PBE.

Results
As for the calculated density: 6.029 g/cm3. For the volume, the calculation gives 24.3 Å³/atom. Its magnetization is 0.00 μB per cell. The space group is R-3m.

abc: 3.483 3.483 9.481
angles: 79.41 79.41 60.00
Fractional coordinates of all 4 atoms:
C 0.500 0.500 0.500
Li 0.000 0.000 0.000
Er 0.119 0.119 0.644
Er 0.881 0.881 0.356



(B)
LiEr2C: optimized geometry, PBE.

Results
As for the calculated density: 7.424 g/cm3. For the volume, the calculation gives 19.8 Å³/atom. Its magnetization is 0.00 μB per cell. The space group is P4/mmm.

abc: 3.168 3.168 7.875
angles: 90.00 90.00 90.00
Fractional coordinates of all 4 atoms:
Li 0.500 0.500 0.250
Er 0.000 0.000 0.923
Er 0.000 0.000 0.577
C 0.500 0.500 0.750



Energetically preferred structure: (A) | next structure: +369 meV/atom